1.
A plane-wave DFT calculation with PBE-GGA was carried out for crystalline VTeIN2 at its relaxed geometry.

Cell and atoms, written as CIF:
```
data_VTeIN2
_chemical_formula_sum 'V1 Te1 I1 N2'
_space_group_name_H-M_alt 'P 1'
_space_group_IT_number 1
_cell_length_a 3.9485
_cell_length_b 3.9485
_cell_length_c 7.7916
_cell_angle_alpha 90.00
_cell_angle_beta 90.00
_cell_angle_gamma 90.00
loop_
_space_group_symop_operation_xyz
'x,y,z'
loop_
_atom_site_label
_atom_site_type_symbol
_atom_site_fract_x
_atom_site_fract_y
_atom_site_fract_z
_atom_site_occupancy
V1 V 0.0000 0.0000 0.0000 1
Te1 Te 0.5000 0.5000 0.0000 1
I1 I 0.5000 0.5000 0.5000 1
N1 N 0.0000 0.5000 0.5000 1
N2 N 0.5000 0.0000 0.5000 1
```

Computed properties:
E_tot (eV per atom): -4.096
Space group: P4/mmm (123)
Energy above the lowest structure with this stoichiometry (meV per atom): 1268

***

2.
A plane-wave DFT calculation with PBE-GGA was carried out for crystalline VTeIN2 at its relaxed geometry.

Cell and atoms, written as CIF:
```
data_VTeIN2
_chemical_formula_sum 'V1 Te1 I1 N2'
_space_group_name_H-M_alt 'P 1'
_space_group_IT_number 1
_cell_length_a 4.0327
_cell_length_b 4.0327
_cell_length_c 5.7732
_cell_angle_alpha 90.00
_cell_angle_beta 90.00
_cell_angle_gamma 90.00
loop_
_space_group_symop_operation_xyz
'x,y,z'
loop_
_atom_site_label
_atom_site_type_symbol
_atom_site_fract_x
_atom_site_fract_y
_atom_site_fract_z
_atom_site_occupancy
V1 V 0.0000 0.0000 0.0000 1
Te1 Te 0.0000 0.0000 0.5000 1
I1 I 0.5000 0.5000 0.5000 1
N1 N 0.0000 0.5000 0.0000 1
N2 N 0.5000 0.0000 0.0000 1
```

Computed properties:
E_tot (eV per atom): -5.364
Space group: P4/mmm (123)
Energy above the lowest structure with this stoichiometry (meV per atom): 0

***

Question: What is the E_tot in the second record?
Answer: -5.364 eV per atom